(1)
The following is a DFT calculation (PBE) of an optimized crystal structure of PmCd2Pd3.

abc: 3.6310 4.5920 13.8775
angles: 90.00 90.00 90.00
Closest atoms and distances in Å follow each position.
Fractional coordinates of all 12 atoms:
Pm  0.9998  0.5000  0.5000  8 Pd 2.93-2.96
Pm  0.0002  0.0000  0.0000  8 Pd 2.93-2.96
Cd  0.9998  0.0000  0.6705  8 Pd 2.88-2.98, 2 Cd 3.18
Cd  0.9998  0.0000  0.3295  8 Pd 2.88-2.98, 2 Cd 3.18
Cd  0.0002  0.5000  0.1705  8 Pd 2.88-2.98, 2 Cd 3.18
Cd  0.0002  0.5000  0.8295  8 Pd 2.88-2.98, 2 Cd 3.18
Pd  0.4998  0.5000  0.6686  6 Cd 2.88-2.93, 2 Pm 2.96, 2 Pd 3.22
Pd  0.4997  0.0000  0.5000  4 Pm 2.93, 4 Cd 2.98, 4 Pd 3.28
Pd  0.4998  0.5000  0.3314  6 Cd 2.88-2.93, 2 Pm 2.96, 2 Pd 3.22
Pd  0.5002  0.0000  0.1686  6 Cd 2.88-2.93, 2 Pm 2.96, 2 Pd 3.22
Pd  0.5003  0.5000  0.0000  4 Pm 2.93, 4 Cd 2.98, 4 Pd 3.28
Pd  0.5002  0.0000  0.8314  6 Cd 2.88-2.93, 2 Pm 2.96, 2 Pd 3.22

Values from the calculation:
The energy of formation from the pure elements is -0.553 eV/atom. The energy above the lowest structure with this stoichiometry is 0.059 eV per formula unit. Its total DFT energy (no corrections) is -4.25 eV/atom. The theoretical density is 9.89 Mg/m³.

---

(2)
The following is a DFT calculation (PBE) of an optimized crystal structure of BaTe5.

abc: 4.8951 5.8987 7.7350
angles: 112.41 90.00 90.00
Closest atoms and distances in Å follow each position.
Fractional coordinates of all 6 atoms:
Te  0.5000  0.7762  0.5524  4 Te 3.04-3.10
Te  0.0000  0.6433  0.2867  4 Te 3.10-3.19
Te  0.5000  0.5000  0.0000  4 Te 3.19
Te  0.0000  0.3567  0.7133  4 Te 3.10-3.19
Te  0.5000  0.2238  0.4476  4 Te 3.04-3.10
Ba  0.0000  0.0000  0.0000  8 Te 3.59-3.83

Values from the calculation:
The energy above the lowest structure with this stoichiometry is 0.000 eV per formula unit. As for the formation energy (no corrections): -48.0 kJ per mole of atoms. Its total DFT energy (no corrections) is -3.44 eV/atom. The theoretical density is 6.24 Mg/m³.

---

(3)
The following is a DFT calculation (PBE) of an optimized crystal structure of Ac2AlTl3.

abc: 4.8513 6.6672 6.7003
angles: 72.92 68.78 68.67
Closest atoms and distances in Å follow each position.
Fractional coordinates of all 6 atoms:
Ac  0.5602  0.1869  0.6926  2 Al 3.48, 8 Tl 3.57-3.71
Ac  0.4388  0.8189  0.3036  7 Tl 3.42-3.80, 3 Al 3.46-3.67
Al  0.1603  0.3760  0.3035  4 Tl 2.89-3.01
Tl  0.8558  0.6157  0.6728  1 Al 2.97, 3 Tl 3.08-3.19
Tl  0.8213  0.2507  0.1066  2 Al 2.89, 1 Tl 3.19
Tl  0.1636  0.7518  0.9209  1 Al 3.01, 2 Tl 3.08

Values from the calculation:
The energy of formation from the pure elements is -0.304 eV/atom. The energy above the lowest structure with this stoichiometry is 0.000 eV per formula unit. Its total DFT energy (no corrections) is -3.48 eV/atom. The theoretical density is 9.83 Mg/m³.

---

(4)
The following is a DFT calculation (PBE) of an optimized crystal structure of NdYSn2.

abc: 4.5206 4.9349 4.9349
angles: 90.00 90.00 90.00
Closest atoms and distances in Å follow each position.
Fractional coordinates of all 4 atoms:
Y  0.5000  0.0000  0.0000  8 Sn 3.35, 4 Nd 3.49
Nd  0.5000  0.5000  0.5000  8 Sn 3.35, 4 Y 3.49
Sn  0.0000  0.0000  0.5000  4 Nd 3.35, 4 Y 3.35, 4 Sn 3.49
Sn  0.0000  0.5000  0.0000  4 Nd 3.35, 4 Y 3.35, 4 Sn 3.49

Values from the calculation:
The energy of formation from the pure elements is -0.653 eV/atom. Its total DFT energy (no corrections) is -5.46 eV/atom. The theoretical density is 7.10 Mg/m³.

---

(5)
The following is a DFT calculation (PBE) of an optimized crystal structure of Pm7Pr2Ho2.

abc: 8.8076 6.1165 8.8076
angles: 63.62 97.93 116.38
Closest atoms and distances in Å follow each position.
Fractional coordinates of all 11 atoms:
Pm  0.4107  0.1845  0.0488  2 Pm 3.18-3.30, 2 Ho 3.39-3.52, 1 Pr 3.41
Pm  0.0488  0.8155  0.4107  2 Pm 3.18-3.30, 2 Ho 3.39-3.52, 1 Pr 3.41
Pm  0.5893  0.8155  0.9512  2 Pm 3.18-3.30, 2 Ho 3.39-3.52, 1 Pr 3.41
Pm  0.9512  0.1845  0.5893  2 Pm 3.18-3.30, 2 Ho 3.39-3.52, 1 Pr 3.41
Pm  0.5779  0.3558  0.4221  6 Pm 3.42-3.82, 2 Pr 3.51-3.78, 2 Ho 3.67
Pm  0.0000  0.0000  0.0000  4 Pm 3.30, 2 Pr 3.62
Pm  0.4221  0.6442  0.5779  6 Pm 3.42-3.82, 2 Pr 3.51-3.78, 2 Ho 3.67
Pr  0.2275  0.8555  0.7725  7 Pm 3.41-3.78, 2 Ho 3.54
Pr  0.7725  0.1445  0.2275  7 Pm 3.41-3.78, 2 Ho 3.54
Ho  0.7808  0.5000  0.7808  6 Pm 3.39-3.67, 2 Pr 3.54
Ho  0.2192  0.5000  0.2192  6 Pm 3.39-3.67, 2 Pr 3.54

Values from the calculation:
The energy of formation from the pure elements is 0.138 eV/atom. The energy above the lowest structure with this stoichiometry is 0.000 eV per formula unit. Its total DFT energy (no corrections) is -4.59 eV/atom. The theoretical density is 7.11 Mg/m³.

---

(6)
The following is a DFT calculation (PBE) of an optimized crystal structure of Pr2ZnSiPt6.

abc: 6.6272 6.6272 6.6272
angles: 60.00 60.00 90.00
Closest atoms and distances in Å follow each position.
Fractional coordinates of all 10 atoms:
Pr  0.2500  0.7500  0.5000  12 Pt 3.31
Pr  0.7500  0.2500  0.5000  12 Pt 3.31
Zn  0.5000  0.5000  0.0000  6 Pt 2.40-2.41
Si  0.0000  0.0000  0.0000  6 Pt 2.28
Pt  0.2434  0.7566  0.0000  1 Si 2.28, 1 Zn 2.41
Pt  0.7566  0.7566  0.0000  1 Si 2.28, 1 Zn 2.40
Pt  0.2434  0.2434  0.5132  1 Si 2.28, 1 Zn 2.40
Pt  0.7566  0.2434  0.0000  1 Si 2.28, 1 Zn 2.41
Pt  0.2434  0.2434  0.0000  1 Si 2.28, 1 Zn 2.40
Pt  0.7566  0.7566  0.4868  1 Si 2.28, 1 Zn 2.40

Values from the calculation:
As for the formation energy (no corrections): -53.6 kJ per mole of atoms. Its total DFT energy (no corrections) is -5.81 eV/atom. The theoretical density is 12.47 Mg/m³.